[1]
Here is Tm3Be2Co7 after structural relaxation from Alexandria. Energies are from PBE.

a = 4.9395 Å, b = 4.9395 Å, c = 8.1521 Å
α = 72.36°, β = 72.36°, γ = 60.00°
Site moments in Bohr magnetons follow the coordinates.
Positions (direct):
Tm (0.8598, 0.8598, 0.4207)  -0.28
Tm (0.0000, 0.0000, 0.0000)  -0.26
Tm (0.1402, 0.1402, 0.5793)  -0.28
Co (0.4219, 0.4219, 0.2325)  0.93
Co (0.5781, 0.5781, 0.7675)  0.93
Co (0.5000, 0.5000, 0.5000)  0.91
Co (0.9237, 0.4219, 0.2325)  0.93
Co (0.0763, 0.5781, 0.7675)  0.93
Co (0.4219, 0.9237, 0.2325)  0.93
Co (0.5781, 0.0763, 0.7675)  0.93
Be (0.3340, 0.3340, 0.9979)  -0.05
Be (0.6660, 0.6660, 0.0021)  -0.05

Properties
Its total energy is -74.1 eV per cell. The space-group type is R-3m. As for the crystal system: trigonal. As for the energy of formation: -0.2882 eV per atom.

=====

[2]
Here is Ba6Sr2Au after structural relaxation from Alexandria. Energies are from PBE.

a = 9.0696 Å, b = 9.0696 Å, c = 12.8729 Å
α = 90.00°, β = 90.01°, γ = 90.00°
Positions (direct):
Ba (0.7480, 0.7487, 0.5001)
Ba (0.2480, 0.7513, 0.0001)
Ba (0.2513, 0.7481, 0.5000)
Ba (0.9997, 0.0001, 0.2488)
Ba (0.2487, 0.2481, 0.0000)
Ba (0.4997, 0.4999, 0.7488)
Ba (0.7520, 0.2487, 0.9999)
Ba (0.7513, 0.7519, 0.0000)
Ba (0.5003, 0.5001, 0.2512)
Ba (0.2520, 0.2513, 0.4999)
Ba (0.7487, 0.2519, 0.5000)
Ba (0.0003, 0.9999, 0.7512)
Sr (0.5000, 0.9998, 0.7499)
Sr (0.0000, 0.4998, 0.7501)
Sr (0.5000, 0.0002, 0.2501)
Sr (0.0000, 0.5002, 0.2499)
Au (0.0000, 0.0000, 0.5000)
Au (0.5000, 0.5000, 0.0000)

Properties
Its total energy is -39.2 eV per cell. The space-group type is I4/mmm. As for the crystal system: tetragonal. As for the energy of formation: -0.1597 eV per atom.

=====

[3]
Here is K2CuP4H8O15 after structural relaxation from Alexandria. Energies are from PBE.

a = 7.6635 Å, b = 7.6635 Å, c = 6.6352 Å
α = 80.97°, β = 80.97°, γ = 104.54°
Site moments in Bohr magnetons follow the coordinates.
Positions (direct):
P (0.2756, 0.7503, 0.3290)  0.00
P (0.7503, 0.2756, 0.3290)  0.00
P (0.2497, 0.7244, 0.6710)  0.00
P (0.7244, 0.2497, 0.6710)  0.00
H (0.2483, 0.1175, 0.6131)  0.00
H (0.9907, 0.4916, 0.7582)  0.00
H (0.8825, 0.7517, 0.3869)  0.00
H (0.1175, 0.2483, 0.6131)  0.00
H (0.7517, 0.8825, 0.3869)  0.00
H (0.5084, 0.0093, 0.2418)  0.00
H (0.0093, 0.5084, 0.2418)  0.00
H (0.4916, 0.9907, 0.7582)  0.00
O (0.3732, 0.9587, 0.2233)  0.01
O (0.6268, 0.0413, 0.7767)  0.01
O (0.9587, 0.3732, 0.2233)  0.01
O (0.0000, 0.0000, 0.0000)  1.36
O (0.6977, 0.0867, 0.2732)  0.03
O (0.0413, 0.6268, 0.7767)  0.01
O (0.7646, 0.7646, 0.4592)  0.02
O (0.6272, 0.4004, 0.2743)  0.07
O (0.3728, 0.5996, 0.7257)  0.07
O (0.3023, 0.9133, 0.7268)  0.03
O (0.0867, 0.6977, 0.2732)  0.03
O (0.9133, 0.3023, 0.7268)  0.03
O (0.5996, 0.3728, 0.7257)  0.07
O (0.2354, 0.2354, 0.5408)  0.02
O (0.4004, 0.6272, 0.2743)  0.07
K (0.2846, 0.2846, 0.0909)  0.00
K (0.7154, 0.7154, 0.9091)  0.00
Cu (0.5000, 0.5000, 0.5000)  0.73

Properties
Its total energy is -171.8 eV per cell. The space-group type is C2/m. As for the crystal system: monoclinic.

=====

[4]
Here is NbTcRu2F after structural relaxation from Alexandria. Energies are from PBE.

a = 4.5990 Å, b = 4.9171 Å, c = 4.5990 Å
α = 90.00°, β = 90.00°, γ = 90.00°
Site moments in Bohr magnetons follow the coordinates.
Positions (direct):
Nb (0.0000, 0.5000, 0.0000)  -0.21
Tc (0.0000, 0.0000, 0.0000)  -0.02
F (0.5000, 0.5000, 0.5000)  0.02
Ru (0.5000, 0.0000, 0.0000)  0.50
Ru (0.0000, 0.0000, 0.5000)  0.80

Properties
Its total energy is -34.1 eV per cell. As for the raw formation energy: 130 kJ per mole of atoms. The space-group type is P4/mmm. As for the crystal system: tetragonal.